Below is an optimized crystal structure of MgMn2BiPt, with properties calculated at the PBE-GGA level.

calculated total energy: -5.015 eV per atom
density: 6.7 g/cm3
M_tot: 7.80 Bohr magnetons per cell

a b c (Å): 5.0798 5.0798 5.1743
angles (deg): 90.00 90.00 90.00
Positions (direct):
Mg1 0.0000 0.0000 0.0000
Mn1 0.0000 0.5000 0.5000
Mn2 0.5000 0.0000 0.5000
Bi1 0.5000 0.5000 0.5000
Pt1 0.5000 0.5000 0.0000


Below is an optimized crystal structure of RbAlSe2, with properties calculated at the PBE-GGA level.

calculated total energy: -3.790 eV per atom
energy relative to the elements, uncorrected: -0.870 eV/atom
density: 4.1 g/cm3
M_tot: 0.00 Bohr magnetons per cell

a b c (Å): 3.8908 3.8908 8.4528
angles (deg): 90.00 90.00 120.00
Positions (direct):
Rb1 0.0000 0.0000 0.0000
Al1 0.6667 0.3333 0.5447
Se1 0.0000 0.0000 0.3892
Se2 0.3333 0.6667 0.7152


Below is an optimized crystal structure of Rb2MnCl3, with properties calculated at the PBE-GGA level.

calculated total energy: -4.081 eV per atom
energy relative to the elements, uncorrected: -1.307 eV/atom
density: 2.8 g/cm3
M_tot: 4.14 Bohr magnetons per cell

a b c (Å): 8.9132 8.9132 8.9132
angles (deg): 149.69 146.91 45.48
Positions (direct):
Rb1 0.1431 0.1431 0.0000
Rb2 0.8569 0.8569 0.0000
Mn1 0.5000 0.5000 0.0000
Cl1 0.0000 0.5000 0.5000
Cl2 0.3492 0.3492 0.0000
Cl3 0.6508 0.6508 0.0000


Below is an optimized crystal structure of Ga2Ni7As, with properties calculated at the PBE-GGA level.

calculated total energy: -5.250 eV per atom
density: 8.0 g/cm3
M_tot: 0.00 Bohr magnetons per cell

a b c (Å): 3.9390 3.9390 9.6066
angles (deg): 90.00 90.00 120.00
Positions (direct):
Ga1 0.0000 0.0000 0.0000
Ga2 0.3333 0.6667 0.6661
Ni1 0.0000 0.0000 0.2457
Ni2 0.0000 0.0000 0.5040
Ni3 0.0000 0.0000 0.7569
Ni4 0.3333 0.6667 0.3952
Ni5 0.3333 0.6667 0.9194
Ni6 0.6667 0.3333 0.0836
Ni7 0.6667 0.3333 0.5913
As1 0.6667 0.3333 0.3298


Below is an optimized crystal structure of KBa2Tb, with properties calculated at the PBE-GGA level.

calculated total energy: -2.004 eV per atom
density: 3.9 g/cm3
M_tot: 0.00 Bohr magnetons per cell

a b c (Å): 15.2734 15.2734 15.2734
angles (deg): 14.84 14.84 14.84
Positions (direct):
K1 0.0000 0.0000 0.0000
Ba1 0.4212 0.4212 0.4212
Ba2 0.5788 0.5788 0.5788
Tb1 0.5000 0.5000 0.5000


Below is an optimized crystal structure of La2MgAs, with properties calculated at the PBE-GGA level.

calculated total energy: -4.495 eV per atom
density: 4.9 g/cm3
M_tot: 0.72 Bohr magnetons per cell
energy above the lowest structure with this stoichiometry: 0.229 eV/atom

a b c (Å): 4.4917 4.4917 6.3444
angles (deg): 90.00 90.00 90.00
Positions (direct):
La1 0.0000 0.0000 0.0000
La2 0.5000 0.5000 0.4989
Mg1 0.5000 0.5000 0.9985
As1 0.0000 0.0000 0.5000


Below is an optimized crystal structure of KZnHg2Te, with properties calculated at the PBE-GGA level.

calculated total energy: -1.305 eV per atom
energy relative to the elements, uncorrected: -0.081 eV/atom
density: 6.4 g/cm3
M_tot: 0.00 Bohr magnetons per cell
energy above the lowest structure with this stoichiometry: 0.193 eV/atom

a b c (Å): 5.1526 5.1526 6.2290
angles (deg): 90.00 90.00 90.00
Positions (direct):
K1 0.0000 0.0000 0.0000
Zn1 0.0000 0.0000 0.5000
Hg1 0.0000 0.5000 0.5000
Hg2 0.5000 0.0000 0.5000
Te1 0.5000 0.5000 0.0000


Below is an optimized crystal structure of TcPAu3, with properties calculated at the PBE-GGA level.

calculated total energy: -4.290 eV per atom
density: 11.7 g/cm3
M_tot: 3.24 Bohr magnetons per cell
energy above the lowest structure with this stoichiometry: 0.000 eV/atom

a b c (Å): 4.6763 4.6763 4.6763
angles (deg): 90.00 90.00 90.00
Positions (direct):
Tc1 0.0000 0.0000 0.0000
P1 0.5000 0.5000 0.5000
Au1 0.0000 0.5000 0.5000
Au2 0.5000 0.0000 0.5000
Au3 0.5000 0.5000 0.0000